(1)
First-principles (PBE-GGA) data for an optimized crystal structure of AsIr2Cl, as listed in Alexandria.

```
data_AsIr2Cl
_chemical_formula_sum 'As2 Ir4 Cl2'
_space_group_name_H-M_alt 'I m m 2'
_space_group_IT_number 44
_space_group_name_Hall 'I 2 -2'
_cell_length_a 2.8336
_cell_length_b 4.1596
_cell_length_c 11.2243
_cell_angle_alpha 90.00
_cell_angle_beta 90.00
_cell_angle_gamma 90.00
loop_
_atom_site_label
_atom_site_type_symbol
_atom_site_fract_x
_atom_site_fract_y
_atom_site_fract_z
As1 As 0.0000 0.0000 0.0000
Ir1 Ir 0.0000 0.0000 0.5813
Ir2 Ir 0.0000 0.5000 0.2978
Cl1 Cl 0.0000 0.5000 0.7906
```

formation energy (no corrections)	0.5218	eV/atom
ΔE to the lowest computed polymorph	270	meV/atom

***

(2)
First-principles (PBE-GGA) data for an optimized crystal structure of MnTl2I4, as listed in Alexandria.

```
data_MnTl2I4
_chemical_formula_sum 'Mn2 Tl4 I8'
_space_group_name_H-M_alt 'P 1 21/m 1'
_space_group_IT_number 11
_space_group_name_Hall '-P 2yb'
_cell_length_a 8.0192
_cell_length_b 8.2110
_cell_length_c 9.5793
_cell_angle_alpha 90.00
_cell_angle_beta 107.67
_cell_angle_gamma 90.00
loop_
_atom_site_label
_atom_site_type_symbol
_atom_site_fract_x
_atom_site_fract_y
_atom_site_fract_z
Mn1 Mn 0.2279 0.2500 0.3029
Tl1 Tl 0.2319 0.7500 0.5567
Tl2 Tl 0.2416 0.7500 0.0609
I1 I 0.0014 0.5031 0.2412
I2 I 0.4167 0.2500 0.5868
I3 I 0.4237 0.2500 0.1205
```

formation energy (no corrections)	-0.5675	eV/atom
ΔE to the lowest computed polymorph	0	meV/atom

***

(3)
First-principles (PBE-GGA) data for an optimized crystal structure of MoPb, as listed in Alexandria.

```
data_MoPb
_chemical_formula_sum 'Mo6 Pb6'
_space_group_name_H-M_alt 'C 1 m 1'
_space_group_IT_number 8
_space_group_name_Hall 'C -2y'
_cell_length_a 13.6914
_cell_length_b 3.2530
_cell_length_c 7.1083
_cell_angle_alpha 90.00
_cell_angle_beta 120.40
_cell_angle_gamma 90.00
loop_
_atom_site_label
_atom_site_type_symbol
_atom_site_fract_x
_atom_site_fract_y
_atom_site_fract_z
Mo1 Mo 0.0000 0.0000 0.0000
Mo2 Mo 0.0600 0.0000 0.3826
Mo3 Mo 0.3952 0.0000 0.1701
Pb1 Pb 0.2113 0.5000 0.2009
Pb2 Pb 0.2585 0.5000 0.7355
Pb3 Pb 0.4764 0.0000 0.6368
```

E_form	0.526	eV/atom
ΔE to the lowest computed polymorph	201	meV/atom

***

(4)
First-principles (PBE-GGA) data for an optimized crystal structure of AcErMg2, as listed in Alexandria.

```
data_AcErMg2
_chemical_formula_sum 'Ac3 Er3 Mg6'
_space_group_name_H-M_alt 'R -3 m'
_space_group_IT_number 166
_space_group_name_Hall '-R 3 2"'
_cell_length_a 3.6558
_cell_length_b 3.6558
_cell_length_c 33.1073
_cell_angle_alpha 90.00
_cell_angle_beta 90.00
_cell_angle_gamma 120.00
loop_
_atom_site_label
_atom_site_type_symbol
_atom_site_fract_x
_atom_site_fract_y
_atom_site_fract_z
Ac1 Ac 0.0000 0.0000 0.0000
Er1 Er 0.0000 0.0000 0.5000
Mg1 Mg 0.0000 0.0000 0.2446
```

E_form	0.093	eV/atom

***

(5)
First-principles (PBE-GGA) data for an optimized crystal structure of AlBiTeI2, as listed in Alexandria.

```
data_AlBiTeI2
_chemical_formula_sum 'Al1 Bi1 Te1 I2'
_space_group_name_H-M_alt 'P 4/m m m'
_space_group_IT_number 123
_space_group_name_Hall '-P 4 2'
_cell_length_a 6.1796
_cell_length_b 6.1796
_cell_length_c 5.9848
_cell_angle_alpha 90.00
_cell_angle_beta 90.00
_cell_angle_gamma 90.00
loop_
_atom_site_label
_atom_site_type_symbol
_atom_site_fract_x
_atom_site_fract_y
_atom_site_fract_z
Al1 Al 0.0000 0.0000 0.0000
Bi1 Bi 0.5000 0.5000 0.5000
Te1 Te 0.5000 0.5000 0.0000
I1 I 0.0000 0.5000 0.5000
```

formation energy (no corrections)	0.1990	eV/atom
ΔE to the lowest computed polymorph	98	meV/atom

***

(6)
First-principles (PBE-GGA) data for an optimized crystal structure of SrMn3H, as listed in Alexandria.

```
data_SrMn3H
_chemical_formula_sum 'Sr1 Mn3 H1'
_space_group_name_H-M_alt 'P m -3 m'
_space_group_IT_number 221
_space_group_name_Hall '-P 4 2 3'
_cell_length_a 6.0642
_cell_length_b 6.0642
_cell_length_c 6.0642
_cell_angle_alpha 90.00
_cell_angle_beta 90.00
_cell_angle_gamma 90.00
loop_
_atom_site_label
_atom_site_type_symbol
_atom_site_fract_x
_atom_site_fract_y
_atom_site_fract_z
Sr1 Sr 0.0000 0.0000 0.0000
Mn1 Mn 0.0000 0.0000 0.5000
H1 H 0.5000 0.5000 0.5000
```

ΔE to the lowest computed polymorph	1690	meV/atom

***

(7)
First-principles (PBE-GGA) data for an optimized crystal structure of DyPu2Te4, as listed in Alexandria.

```
data_DyPu2Te4
_chemical_formula_sum 'Dy2 Pu4 Te8'
_space_group_name_H-M_alt 'C 1 2/m 1'
_space_group_IT_number 12
_space_group_name_Hall '-C 2y'
_cell_length_a 16.3382
_cell_length_b 4.4139
_cell_length_c 7.7878
_cell_angle_alpha 90.00
_cell_angle_beta 117.55
_cell_angle_gamma 90.00
loop_
_atom_site_label
_atom_site_type_symbol
_atom_site_fract_x
_atom_site_fract_y
_atom_site_fract_z
Dy1 Dy 0.0000 0.0000 0.0000
Pu1 Pu 0.2365 0.5000 0.7267
Te1 Te 0.1197 0.0000 0.4386
Te2 Te 0.1295 0.5000 0.9782
```

formation energy (no corrections)	-1.1273	eV/atom
ΔE to the lowest computed polymorph	0	meV/atom

***

(8)
First-principles (PBE-GGA) data for an optimized crystal structure of Pm4Ag3, as listed in Alexandria.

```
data_Pm4Ag3
_chemical_formula_sum 'Pm24 Ag18'
_space_group_name_H-M_alt 'R -3'
_space_group_IT_number 148
_space_group_name_Hall '-R 3'
_cell_length_a 14.1377
_cell_length_b 14.1377
_cell_length_c 6.5437
_cell_angle_alpha 90.00
_cell_angle_beta 90.00
_cell_angle_gamma 120.00
loop_
_atom_site_label
_atom_site_type_symbol
_atom_site_fract_x
_atom_site_fract_y
_atom_site_fract_z
Pm1 Pm 0.0000 0.0000 0.0000
Pm2 Pm 0.0000 0.0000 0.5000
Pm3 Pm 0.0506 0.2493 0.1730
Ag1 Ag 0.0487 0.2297 0.6901
```

E_form	-0.173	eV/atom